# GGA-PBE Rb2BaInMo, relaxed
# **Crystal system**: tetragonal
# **Calculated formation energy**: 1.306 eV per atom
# **Energy**: -0.0801 hartree per atom
# **Symmetry**: No. 123
data_Rb2BaInMo
_chemical_formula_sum 'Rb2 Ba1 In1 Mo1'
_cell_length_a 7.379
_cell_length_b 8.279
_cell_length_c 7.379
_cell_angle_alpha 90.00
_cell_angle_beta 90.00
_cell_angle_gamma 90.00
_symmetry_space_group_name_H-M 'P 1'
_symmetry_Int_Tables_number 1
loop_
_symmetry_equiv_pos_as_xyz
'x,y,z'
loop_
_atom_site_label
_atom_site_type_symbol
_atom_site_fract_x
_atom_site_fract_y
_atom_site_fract_z
In1 In 0.000 0.000 0.000
Rb1 Rb 0.000 0.000 0.500
Ba1 Ba 0.000 0.500 0.000
Mo1 Mo 0.500 0.500 0.500
Rb2 Rb 0.500 0.000 0.000

# GGA-PBE SrPr2Tm, relaxed
# **Crystal system**: trigonal
# **Calculated formation energy**: 0.183 eV per atom
# **Energy**: -0.1376 hartree per atom
# **Symmetry**: No. 166
data_SrPr2Tm
_chemical_formula_sum 'Sr1 Pr2 Tm1'
_cell_length_a 3.675
_cell_length_b 3.675
_cell_length_c 13.302
_cell_angle_alpha 82.06
_cell_angle_beta 82.06
_cell_angle_gamma 60.00
_symmetry_space_group_name_H-M 'P 1'
_symmetry_Int_Tables_number 1
loop_
_symmetry_equiv_pos_as_xyz
'x,y,z'
loop_
_atom_site_label
_atom_site_type_symbol
_atom_site_fract_x
_atom_site_fract_y
_atom_site_fract_z
Sr1 Sr 0.000 0.000 0.000
Pr1 Pr 0.094 0.094 0.718
Pr2 Pr 0.906 0.906 0.282
Tm1 Tm 0.500 0.500 0.500

Q: What is the calculated formation energy in the second record?
A: 0.183 eV per atom

What did the second record say?
# GGA-PBE SrPr2Tm, relaxed
# **Crystal system**: trigonal
# **Calculated formation energy**: 0.183 eV per atom
# **Energy**: -0.1376 hartree per atom
# **Symmetry**: No. 166
data_SrPr2Tm
_chemical_formula_sum 'Sr1 Pr2 Tm1'
_cell_length_a 3.675
_cell_length_b 3.675
_cell_length_c 13.302
_cell_angle_alpha 82.06
_cell_angle_beta 82.06
_cell_angle_gamma 60.00
_symmetry_space_group_name_H-M 'P 1'
_symmetry_Int_Tables_number 1
loop_
_symmetry_equiv_pos_as_xyz
'x,y,z'
loop_
_atom_site_label
_atom_site_type_symbol
_atom_site_fract_x
_atom_site_fract_y
_atom_site_fract_z
Sr1 Sr 0.000 0.000 0.000
Pr1 Pr 0.094 0.094 0.718
Pr2 Pr 0.906 0.906 0.282
Tm1 Tm 0.500 0.500 0.500

Q: The highest energy belongs to which entry?
A: Rb2BaInMo

Q: Look up the energy of the first one.
A: -0.0801 hartree per atom